[1]
VASP calculation (GGA-PBE) on a relaxed RbBaMn3 crystal.

abc: 6.0718 6.0718 6.0718
angles: 90.00 90.00 90.00
Element x y z (fractional)
Rb: 0.0000 0.0000 0.0000
Ba: 0.5000 0.5000 0.5000
Mn: 0.0000 0.5000 0.5000
Mn: 0.5000 0.0000 0.5000
Mn: 0.5000 0.5000 0.0000

Values from the calculation:
V (Å³ per atom): 44.769
Total moment (μB per atom): 2.416
ΔE to the lowest computed polymorph (eV per formula unit): 0.00
ΔH_f (0 K) (kJ/mol of atoms): 151.6

---

[2]
VASP calculation (GGA-PBE) on a relaxed Ni3C crystal.

abc: 6.2990 6.2990 4.8354
angles: 90.00 90.00 120.00
Element x y z (fractional)
Ni: 0.0000 0.5000 0.0000
Ni: 0.0000 0.5000 0.5000
Ni: 0.1305 0.2610 0.2500
Ni: 0.1305 0.8695 0.2500
Ni: 0.2610 0.1305 0.7500
Ni: 0.5000 0.0000 0.0000
Ni: 0.5000 0.0000 0.5000
Ni: 0.5000 0.5000 0.0000
Ni: 0.5000 0.5000 0.5000
Ni: 0.7390 0.8695 0.2500
Ni: 0.8695 0.1305 0.7500
Ni: 0.8695 0.7390 0.7500
C: 0.0000 0.0000 0.0000
C: 0.0000 0.0000 0.5000
C: 0.3333 0.6667 0.7500
C: 0.6667 0.3333 0.2500

Values from the calculation:
V (Å³ per atom): 10.384
Total moment (μB per atom): 0.001
ΔE to the lowest computed polymorph (eV per formula unit): 2.29
ΔH_f (0 K) (kJ/mol of atoms): 61.1